Entry 1:
## ZrSnS2N (PBE)

Data for a geometry-optimized ZrSnS2N structure.

The structure in CIF format:
```
data_ZrSnS2N
_chemical_formula_sum 'Zr1 Sn1 S2 N1'
_symmetry_space_group_name_H-M 'P 1'
_symmetry_Int_Tables_number 1
_cell_length_a 5.123
_cell_length_b 5.123
_cell_length_c 4.115
_cell_angle_alpha 90.00
_cell_angle_beta 90.00
_cell_angle_gamma 90.00
loop_
_symmetry_equiv_pos_as_xyz
'x,y,z'
loop_
_atom_site_label
_atom_site_type_symbol
_atom_site_fract_x
_atom_site_fract_y
_atom_site_fract_z
Zr1 Zr 0.000 0.000 0.000
Sn1 Sn 0.500 0.500 0.500
S1 S 0.000 0.500 0.000
S2 S 0.500 0.000 0.000
N1 N 0.000 0.000 0.500
```

Calculated values
The density of states at the Fermi level comes out at 2.64 states/eV per cell. The calculation puts the energy above the lowest structure with this stoichiometry at 0 meV per atom. As for the space group: P4/mmm (123). The total magnetic moment is 0.7 μB per cell. The uncorrected formation energy is -360 meV per atom.

=====

Entry 2:
## ZrSnSN2 (PBE)

Data for a geometry-optimized ZrSnSN2 structure.

The structure in CIF format:
```
data_ZrSnSN2
_chemical_formula_sum 'Zr1 Sn1 S1 N2'
_symmetry_space_group_name_H-M 'P 1'
_symmetry_Int_Tables_number 1
_cell_length_a 4.182
_cell_length_b 4.182
_cell_length_c 5.335
_cell_angle_alpha 90.00
_cell_angle_beta 90.00
_cell_angle_gamma 90.00
loop_
_symmetry_equiv_pos_as_xyz
'x,y,z'
loop_
_atom_site_label
_atom_site_type_symbol
_atom_site_fract_x
_atom_site_fract_y
_atom_site_fract_z
Zr1 Zr 0.000 0.000 0.000
Sn1 Sn 0.500 0.500 0.500
S1 S 0.000 0.000 0.500
N1 N 0.000 0.500 0.000
N2 N 0.500 0.000 0.000
```

Calculated values
The density of states at the Fermi level comes out at 1.67 states/eV per cell. The calculation puts the energy above the lowest structure with this stoichiometry at 0 meV per atom. As for the space group: P4/mmm (123). The total magnetic moment is 0.7 μB per cell. The uncorrected formation energy is 77 meV per atom.

=====

Entry 3:
## ZrSnS2N (PBE)

Data for a geometry-optimized ZrSnS2N structure.

The structure in CIF format:
```
data_ZrSnS2N
_chemical_formula_sum 'Zr1 Sn1 S2 N1'
_symmetry_space_group_name_H-M 'P 1'
_symmetry_Int_Tables_number 1
_cell_length_a 5.019
_cell_length_b 5.019
_cell_length_c 3.867
_cell_angle_alpha 90.00
_cell_angle_beta 90.00
_cell_angle_gamma 90.00
loop_
_symmetry_equiv_pos_as_xyz
'x,y,z'
loop_
_atom_site_label
_atom_site_type_symbol
_atom_site_fract_x
_atom_site_fract_y
_atom_site_fract_z
Zr1 Zr 0.000 0.000 0.000
Sn1 Sn 0.500 0.500 0.500
S1 S 0.000 0.500 0.500
S2 S 0.500 0.000 0.500
N1 N 0.500 0.500 0.000
```

Calculated values
The density of states at the Fermi level comes out at 2.28 states/eV per cell. The calculation puts the energy above the lowest structure with this stoichiometry at 748 meV per atom. As for the space group: P4/mmm (123). The total magnetic moment is 0.0 μB per cell. The uncorrected formation energy is 387 meV per atom.